Compound: Ac3DyY
Source: Alexandria via LeMat-Bulk
Functional: PBE
Structure: optimized geometry

Unit cell a=6.5261 b=9.3569 c=13.3407 alpha=90.00 beta=90.00 gamma=90.00
Sites, in units of the cell vectors:
Ac  0.0903  0.1740  0.0704
Ac  0.0903  0.3260  0.4296
Ac  0.1502  0.2500  0.7500
Ac  0.3498  0.7500  0.7500
Ac  0.4097  0.6740  0.4296
Ac  0.4097  0.8260  0.0704
Ac  0.5903  0.1740  0.9296
Ac  0.5903  0.3260  0.5704
Ac  0.6502  0.2500  0.2500
Ac  0.8498  0.7500  0.2500
Ac  0.9097  0.6740  0.5704
Ac  0.9097  0.8260  0.9296
Dy  0.2500  0.0000  0.5563
Dy  0.2500  0.5000  0.9437
Dy  0.7500  0.0000  0.4437
Dy  0.7500  0.5000  0.0563
Y  0.2500  0.0000  0.3045
Y  0.2500  0.5000  0.1955
Y  0.7500  0.0000  0.6955
Y  0.7500  0.5000  0.8045

Results
Its mass density is 7.60 Mg/m³. The space group is Pnna.

Compound: AcDy12Y7
Source: Alexandria via LeMat-Bulk
Functional: PBE
Structure: optimized geometry

Unit cell a=8.7462 b=8.7462 c=8.7462 alpha=88.01 beta=88.01 gamma=88.01
Sites, in units of the cell vectors:
Ac  0.0000  0.0000  0.0000
Dy  0.1380  0.6215  0.4961
Dy  0.1455  0.2737  0.7223
Dy  0.2737  0.7223  0.1455
Dy  0.2777  0.8545  0.7263
Dy  0.3785  0.5039  0.8620
Dy  0.4961  0.1380  0.6215
Dy  0.5039  0.8620  0.3785
Dy  0.6215  0.4961  0.1380
Dy  0.7223  0.1455  0.2737
Dy  0.7263  0.2777  0.8545
Dy  0.8545  0.7263  0.2777
Dy  0.8620  0.3785  0.5039
Y  0.0597  0.3914  0.1567
Y  0.1567  0.0597  0.3914
Y  0.3914  0.1567  0.0597
Y  0.5000  0.5000  0.5000
Y  0.6086  0.8433  0.9403
Y  0.8433  0.9403  0.6086
Y  0.9403  0.6086  0.8433

Results
Its mass density is 6.96 Mg/m³. Its distance to the lowest polymorph of the same formula is 0.0000 eV/atom. The space group is R-3.

Compound: Ac3Dy3Y2
Source: Alexandria via LeMat-Bulk
Functional: PBE
Structure: optimized geometry

Unit cell a=10.0584 b=10.0584 c=6.8460 alpha=90.00 beta=90.00 gamma=120.00
Sites, in units of the cell vectors:
Ac  0.0000  0.2391  0.2500
Ac  0.0000  0.7609  0.7500
Ac  0.2391  0.0000  0.2500
Ac  0.2391  0.2391  0.7500
Ac  0.7609  0.0000  0.7500
Ac  0.7609  0.7609  0.2500
Dy  0.0000  0.4130  0.7500
Dy  0.0000  0.5870  0.2500
Dy  0.4130  0.0000  0.7500
Dy  0.4130  0.4130  0.2500
Dy  0.5870  0.0000  0.2500
Dy  0.5870  0.5870  0.7500
Y  0.3333  0.6667  0.0000
Y  0.3333  0.6667  0.5000
Y  0.6667  0.3333  0.0000
Y  0.6667  0.3333  0.5000

Results
Its mass density is 7.45 Mg/m³. The space group is P6_3/mcm.

Compound: AcDy2Y4
Source: Alexandria via LeMat-Bulk
Functional: PBE
Structure: optimized geometry

Unit cell a=6.2036 b=8.5450 c=9.6551 alpha=88.74 beta=77.80 gamma=72.99
Sites, in units of the cell vectors:
Ac  0.0000  0.0000  0.0000
Ac  0.4615  0.2213  0.8965
Dy  0.1619  0.4949  0.4858
Dy  0.2602  0.1690  0.2659
Dy  0.3624  0.6341  0.7647
Dy  0.6025  0.6948  0.4182
Y  0.0154  0.8914  0.3599
Y  0.1060  0.5660  0.1273
Y  0.2624  0.0523  0.6152
Y  0.5418  0.7806  0.0696
Y  0.6652  0.3773  0.1968
Y  0.7267  0.2753  0.5367
Y  0.8065  0.8336  0.7053
Y  0.9045  0.4326  0.8370

Results
Its mass density is 6.31 Mg/m³. Its distance to the lowest polymorph of the same formula is 0.0366 eV/atom. The space group is P1.

Compound: AcDy7Y4
Source: Alexandria via LeMat-Bulk
Functional: PBE
Structure: optimized geometry

Unit cell a=6.2610 b=7.2403 c=8.9216 alpha=90.04 beta=103.56 gamma=90.05
Sites, in units of the cell vectors:
Ac  0.0000  0.0000  0.0000
Dy  0.0000  0.5000  0.0000
Dy  0.2237  0.9999  0.6619
Dy  0.2788  0.7475  0.3367
Dy  0.4994  0.7458  0.0011
Dy  0.5006  0.2542  0.9989
Dy  0.7212  0.2525  0.6633
Dy  0.7763  0.0001  0.3381
Y  0.2212  0.4999  0.6655
Y  0.2810  0.2528  0.3370
Y  0.7190  0.7472  0.6630
Y  0.7788  0.5001  0.3345

Results
Its mass density is 7.27 Mg/m³. Its distance to the lowest polymorph of the same formula is 0.0000 eV/atom. The space group is P-1.

Compound: Ac2Dy3Y8
Source: Alexandria via LeMat-Bulk
Functional: PBE
Structure: optimized geometry

Unit cell a=8.8719 b=8.8719 c=6.2557 alpha=107.60 beta=107.60 gamma=83.33
Sites, in units of the cell vectors:
Ac  0.2018  0.2018  0.3539
Ac  0.7982  0.7982  0.6461
Dy  0.2515  0.7485  0.0000
Dy  0.5000  0.5000  0.5000
Dy  0.7485  0.2515  0.0000
Y  0.0700  0.0700  0.7744
Y  0.0827  0.5867  0.3278
Y  0.3497  0.3497  0.9575
Y  0.4133  0.9173  0.6722
Y  0.5867  0.0827  0.3278
Y  0.6503  0.6503  0.0425
Y  0.9173  0.4133  0.6722
Y  0.9300  0.9300  0.2256

Results
Its mass density is 6.14 Mg/m³. The space group is C2/m.

| no. | total DFT energy (no corrections) (eV/cell) | energy relative to the elements (meV/atom) | magnetic moment (μB/atom) |
| --- | --- | --- | --- |
| 1 | -89.87 | 185 | 0.0000 |
| 2 | -100.06 | 226 | 0.0000 |
| 3 | -75.26 | 179 | 0.0001 |
| 4 | -77.16 | 84 | 0.0000 |
| 5 | -62.04 | 11 | 0.0000 |
| 6 | -71.07 | 205 | 0.0000 |